A geometry-optimized CoIrI2O structure. Source: Alexandria via LeMat-Bulk, functional GGA+U.

It has space group P4/mmm (No. 123), with a = 5.621 Å, b = 5.621 Å, c = 3.740 Å, α = 90.00°, β = 90.00° and γ = 90.00°. The distinct sites, in fractional coordinates, are Co at (0.000, 0.000, 0.000), Ir at (0.500, 0.500, 0.500), I at (0.000, 0.500, 0.500) and O at (0.500, 0.500, 0.000).

Its excess energy over the best structure of this formula in the dataset is 0 meV/atom. The value obtained for the volume is 118.2 Å³/f.u. As for the calculated density: 7.3 g/cm³.